# U3Cu2H10C2O20, optimized geometry, DFT PBE-GGA
# Magnetic moment = 2.0 μB/f.u.
# Total energy = -0.508 Ry per atom
# Crystal system = triclinic
data_U3Cu2H10C2O20
_chemical_formula_sum 'U3 Cu2 H10 C2 O20'
_cell_length_a 6.994
_cell_length_b 7.840
_cell_length_c 7.927
_cell_angle_alpha 89.81
_cell_angle_beta 84.06
_cell_angle_gamma 87.69
_symmetry_space_group_name_H-M 'P -1'
_symmetry_Int_Tables_number 2
loop_
_symmetry_equiv_pos_as_xyz
'x,y,z'
'-x,-y,-z'
loop_
_atom_site_label
_atom_site_type_symbol
_atom_site_fract_x
_atom_site_fract_y
_atom_site_fract_z
_atom_site_occupancy
U1 U 0.000 0.000 0.000 1
U2 U 0.476 0.194 0.136 1
Cu1 Cu 0.261 0.509 0.496 1
H1 H 0.156 0.780 0.326 1
H2 H 0.187 0.233 0.677 1
H3 H 0.328 0.186 0.507 1
H4 H 0.356 0.819 0.390 1
H5 H 0.462 0.538 0.228 1
C1 C 0.039 0.688 0.772 1
O1 O 0.004 0.139 0.807 1
O2 O 0.045 0.563 0.668 1
O3 O 0.125 0.250 0.155 1
O4 O 0.188 0.765 0.814 1
O5 O 0.241 0.752 0.417 1
O6 O 0.292 0.276 0.595 1
O7 O 0.316 0.005 0.992 1
O8 O 0.433 0.069 0.335 1
O9 O 0.443 0.438 0.305 1
O10 O 0.490 0.674 0.054 1